*one*
AcHoP2 after structural relaxation. Source: Alexandria via LeMat-Bulk, functional GGA-PBE.

Lattice parameters (Å, degrees): 4.2537 4.2537 25.0149 90.00 90.00 120.00
Last column: nearest neighbours and their distance in Å.
Space group R-3m (No. 166, hexagonal axes)
Inequivalent atoms, fractional coordinates:
Ac  0.0000  0.0000  0.0000 (multiplicity 3)  2 P 2.84
Ho  0.0000  0.0000  0.5000 (multiplicity 3)  6 P 2.79
P  0.0000  0.0000  0.1137 (multiplicity 6)  3 Ho 2.79, 1 Ac 2.84

Output
As for the total magnetization: 0.11 μB/atom.

---

*two*
AcHoP2 after structural relaxation. Source: Alexandria via LeMat-Bulk, functional GGA-PBE.

Lattice parameters (Å, degrees): 7.2338 7.2338 7.2338 90.00 90.00 90.00
Last column: nearest neighbours and their distance in Å.
Space group Fm-3m (No. 225)
Inequivalent atoms, fractional coordinates:
Ac  0.0000  0.0000  0.0000 (multiplicity 4)  8 P 3.13
Ho  0.0000  0.0000  0.5000 (multiplicity 4)  8 P 3.13
P  0.2500  0.2500  0.2500 (multiplicity 8)  4 Ac 3.13, 4 Ho 3.13

Output
As for the total magnetization: 0.00 μB/atom.

---

Relative energy of each structure, in meV/atom: *one* 537; *two* 0.

---

*one*
AcHoP2 after structural relaxation. Source: Alexandria via LeMat-Bulk, functional GGA-PBE.

Lattice parameters (Å, degrees): 5.1353 5.1353 3.6275 90.00 90.00 90.00
Last column: nearest neighbours and their distance in Å.
Space group P4/mmm (No. 123)
Inequivalent atoms, fractional coordinates:
Ac  0.0000  0.0000  0.0000 (multiplicity 1)  8 P 3.14
Ho  0.5000  0.5000  0.0000 (multiplicity 1)  8 P 3.14
P  0.0000  0.5000  0.5000 (multiplicity 2)  4 Ac 3.14, 4 Ho 3.14

Output
As for the total magnetization: 0.00 μB/atom.

---

*two*
AcHoP2 after structural relaxation. Source: Alexandria via LeMat-Bulk, functional GGA-PBE.

Lattice parameters (Å, degrees): 4.1385 4.1385 21.5685 90.00 90.00 120.00
Last column: nearest neighbours and their distance in Å.
Space group R3m (No. 160, hexagonal axes)
Inequivalent atoms, fractional coordinates:
Ac  0.0000  0.0000  0.0000 (multiplicity 3)  6 P 3.06-3.14
Ho  0.0000  0.0000  0.8291 (multiplicity 3)  6 P 2.87-2.90
P  0.0000  0.0000  0.2387 (multiplicity 3)  3 Ho 2.90, 3 Ac 3.14
P  0.0000  0.0000  0.4222 (multiplicity 3)  3 Ho 2.87, 3 Ac 3.06

Output
As for the total magnetization: 0.00 μB/atom.

---

Relative energy of each structure, in meV/atom: *one* 385; *two* 0.